Run w
Computed, not measured: a relaxed structure of Zn4PdPt at the GGA-PBE level of DFT.

Calculated values
DOS at the Fermi energy   0.37 states/eV/atom
Space-group type   F-43m, No. 216

extended XYZ file:
```
6
Lattice="0.0000 3.5043 3.5043 3.5043 0.0000 3.5043 3.5043 3.5043 0.0000" Properties=species:S:1:pos:R:3 pbc="T T T"
Zn 0.8758 0.8758 0.8758
Zn 2.6286 2.6286 0.8758
Zn 2.6286 0.8758 2.6286
Zn 0.8758 2.6286 2.6286
Pd 5.2565 5.2565 5.2565
Pt 3.5043 3.5043 3.5043
```



Run x
Computed, not measured: a relaxed structure of Zn4PdPt at the GGA-PBE level of DFT.

Calculated values
DOS at the Fermi energy   0.34 states/eV/atom
Space-group type   C2/m, No. 12

extended XYZ file:
```
6
Lattice="4.3884 -1.8569 0.0000 4.3884 1.8569 0.0000 -1.8527 0.0000 5.3559" Properties=species:S:1:pos:R:3 pbc="T T T"
Zn 0.8205 0.0000 1.7756
Zn -0.0883 0.0000 4.4650
Zn 7.0124 0.0000 0.8909
Zn 6.1037 0.0000 3.5803
Pd 3.4621 0.0000 2.6779
Pt 4.3884 0.0000 0.0000
```



run x ends up most stable, edging out the next structure by 0.148 eV/atom.



Run w
Computed, not measured: a relaxed structure of Zn2Pd4Pt5 at the GGA-PBE level of DFT.

Calculated values
DOS at the Fermi energy   1.21 states/eV/atom
Space-group type   P2/m, No. 10

extended XYZ file:
```
11
Lattice="6.8732 0.0000 0.0000 0.0000 2.7534 0.0000 -0.7166 0.0000 8.9543" Properties=species:S:1:pos:R:3 pbc="T T T"
Zn 0.3563 0.0000 1.2459
Zn 5.8002 0.0000 7.7085
Pd 0.8857 1.3767 3.5085
Pd 1.1680 1.3767 8.4531
Pd 4.9885 1.3767 0.5012
Pd 5.2709 1.3767 5.4459
Pt 0.7944 0.0000 5.9798
Pt 2.8572 0.0000 1.7765
Pt 3.0783 0.0000 4.4772
Pt 3.2994 0.0000 7.1779
Pt 5.3622 0.0000 2.9745
```



Run x
Computed, not measured: a relaxed structure of Zn2Pd4Pt5 at the GGA-PBE level of DFT.

Calculated values
DOS at the Fermi energy   1.29 states/eV/atom
Space-group type   P-1, No. 2

extended XYZ file:
```
11
Lattice="2.7975 0.0000 0.0000 -1.3906 4.6214 0.0000 -0.0216 -0.2610 12.9232" Properties=species:S:1:pos:R:3 pbc="T T T"
Zn -0.0041 0.3617 4.1457
Zn 1.3894 3.9986 8.7775
Pd -0.0121 1.9788 7.6556
Pd -0.0155 3.5135 11.0836
Pd 1.4009 0.8469 1.8395
Pd 1.3974 2.3815 5.2676
Pt -0.0177 0.9961 12.3199
Pt 0.0020 2.9791 2.9852
Pt 1.3880 -0.1305 6.4616
Pt 1.3834 1.3813 9.9379
Pt 1.4031 3.3643 0.6033
```



run x ends up most stable, edging out the next structure by 0.073 eV/atom.



Run w
Computed, not measured: a relaxed structure of ZnPdPt at the GGA-PBE level of DFT.

Calculated values
DOS at the Fermi energy   0.77 states/eV/atom
Space-group type   Cm, No. 8

extended XYZ file:
```
6
Lattice="4.4523 -1.9568 0.0000 4.4523 1.9568 0.0000 -2.0883 0.0000 5.1497" Properties=species:S:1:pos:R:3 pbc="T T T"
Zn 0.0000 0.0000 0.0000
Zn 4.2984 0.0000 4.1725
Pd -0.9806 0.0000 2.5768
Pd 1.7010 0.0000 3.4368
Pt 2.5876 0.0000 0.7496
Pt 5.2542 0.0000 1.5952
```



Run x
Computed, not measured: a relaxed structure of ZnPdPt at the GGA-PBE level of DFT.

Calculated values
DOS at the Fermi energy   0.47 states/eV/atom
Space-group type   Cmcm, No. 63

extended XYZ file:
```
6
Lattice="2.0289 -5.4077 0.0000 2.0289 5.4077 0.0000 0.0000 0.0000 4.0471" Properties=species:S:1:pos:R:3 pbc="T T T"
Zn 2.0289 2.7089 3.0353
Zn 2.0289 -2.7089 1.0118
Pd 2.0289 4.4085 1.0118
Pd 2.0289 -4.4085 3.0353
Pt 2.0289 0.9990 1.0118
Pt 2.0289 -0.9990 3.0353
```



run x ends up most stable, edging out the next structure by 0.044 eV/atom.



Run w
Computed, not measured: a relaxed structure of ZnPdPt at the GGA-PBE level of DFT.

Calculated values
DOS at the Fermi energy   0.75 states/eV/atom
Space-group type   Cm, No. 8

extended XYZ file:
```
6
Lattice="4.4659 -1.9518 0.0000 4.4659 1.9518 0.0000 -2.1015 0.0000 5.1466" Properties=species:S:1:pos:R:3 pbc="T T T"
Zn 0.0000 0.0000 0.0000
Zn 4.2917 0.0000 4.1756
Pd -0.9796 0.0000 2.5739
Pd 2.5976 0.0000 0.7428
Pt 1.6994 0.0000 3.4306
Pt 5.2803 0.0000 1.6006
```



Run x
Computed, not measured: a relaxed structure of ZnPdPt at the GGA-PBE level of DFT.

Calculated values
DOS at the Fermi energy   0.56 states/eV/atom
Space-group type   Ima2, No. 46

extended XYZ file:
```
18
Lattice="-3.6851 5.5646 3.3917 3.6851 -5.5646 3.3917 3.6851 5.5646 -3.3917" Properties=species:S:1:pos:R:3 pbc="T T T"
Zn 0.1505 1.9048 0.0000
Zn 3.5346 1.9048 0.0000
Zn 1.8425 -0.7320 3.4032
Zn 1.8425 6.2966 0.0116
Zn 0.1505 3.6598 3.3917
Zn 3.5346 3.6598 3.3917
Pd 1.8425 -2.5557 1.5923
Pd 1.8425 3.4816 -1.3615
Pd 5.5276 2.5557 1.5923
Pd 1.8425 2.0830 2.0302
Pd -1.8425 5.2615 2.8711
Pd 1.8425 5.8677 2.8711
Pt 0.0000 0.0000 1.7329
Pt 3.6851 0.0000 1.7329
Pt 0.4386 4.2625 0.9639
Pt 3.2465 4.2625 0.9639
Pt -0.4386 6.8667 0.9639
Pt 0.4386 1.3021 4.3555
```



run w ends up most stable, edging out the next structure by 0.051 eV/atom.